First-principles (GGA-PBE) data for crystalline BaPuHg at its relaxed geometry, as listed in the Open Quantum Materials Database.

```
BaPuHg
1.0
0.0000 3.9266 3.9266
3.9266 0.0000 3.9266
3.9266 3.9266 0.0000
Ba Pu Hg
1 1 1
Direct
0.0000 0.0000 0.0000 Ba
0.5000 0.5000 0.5000 Pu
0.2500 0.2500 0.2500 Hg
```

Computed properties:
symmetry = F-43m (216)
spin magnetization = 6.48 μB per cell
E = -15.96 eV/f.u.
energy above the lowest structure with this stoichiometry = 0.0 meV/atom



First-principles (GGA-PBE) data for crystalline CsTmGeSe3 at its relaxed geometry, as listed in the Open Quantum Materials Database.

```
CsTmGeSe3
1.0
2.0484 -8.1536 0.0000
2.0484 8.1536 0.0000
0.0000 0.0000 11.7492
Cs Tm Ge Se
2 2 2 6
Direct
0.2246 0.7754 0.7500 Cs
0.7754 0.2246 0.2500 Cs
0.5000 0.5000 0.0000 Tm
0.5000 0.5000 0.5000 Tm
0.0808 0.9192 0.2500 Ge
0.9192 0.0808 0.7500 Ge
0.1179 0.8821 0.0209 Se
0.1179 0.8821 0.4791 Se
0.4788 0.5212 0.2500 Se
0.5212 0.4788 0.7500 Se
0.8821 0.1179 0.5209 Se
0.8821 0.1179 0.9791 Se
```

Computed properties:
symmetry = Cmcm (63)
spin magnetization = 0.01 μB per cell
E = -27.24 eV/f.u.
energy above the lowest structure with this stoichiometry = 121.2 meV/atom



First-principles (GGA-PBE) data for crystalline Nd2DyTl3AgPt2 at its relaxed geometry, as listed in the Open Quantum Materials Database.

```
Nd2DyTl3AgPt2
1.0
3.8894 0.0000 0.0000
0.0000 6.9130 4.0091
0.0000 -6.9130 4.0091
Nd Dy Tl Ag Pt
2 1 3 1 2
Direct
0.0000 0.2062 0.7938 Nd
0.0000 0.7938 0.2062 Nd
0.0000 0.3791 0.3791 Dy
0.5000 0.0607 0.0607 Tl
0.5000 0.5267 0.7919 Tl
0.5000 0.7919 0.5267 Tl
0.0000 0.7910 0.7910 Ag
0.5000 0.1327 0.4580 Pt
0.5000 0.4580 0.1327 Pt
```

Computed properties:
symmetry = Amm2 (38)
spin magnetization = 0.00 μB per cell
E = -42.05 eV/f.u.



First-principles (GGA-PBE) data for crystalline TbNpW at its relaxed geometry, as listed in the Open Quantum Materials Database.

```
TbNpW
1.0
0.0000 3.3451 3.3451
3.3451 0.0000 3.3451
3.3451 3.3451 0.0000
Tb Np W
1 1 1
Direct
0.0000 0.0000 0.0000 Tb
0.5000 0.5000 0.5000 Np
0.2500 0.2500 0.2500 W
```

Computed properties:
energy of formation from the pure elements = 0.933 eV/atom
symmetry = F-43m (216)
spin magnetization = 3.17 μB per cell
E = -27.56 eV/f.u.



First-principles (GGA-PBE) data for crystalline AcHf at its relaxed geometry, as listed in the Open Quantum Materials Database.

```
AcHf
1.0
3.5829 0.0000 0.0000
-1.7914 3.1028 0.0000
0.0000 0.0000 11.0723
Ac Hf
2 2
Direct
0.0000 0.0000 0.0000 Ac
0.0000 0.0000 0.5000 Ac
0.3333 0.6667 0.2500 Hf
0.6667 0.3333 0.7500 Hf
```

Computed properties:
energy of formation from the pure elements = 0.501 eV/atom
symmetry = P6_3/mmc (194)
spin magnetization = 0.01 μB per cell
E = -13.06 eV/f.u.
energy above the lowest structure with this stoichiometry = 0.0 meV/atom



First-principles (GGA-PBE) data for crystalline ScFeGeAu at its relaxed geometry, as listed in the Open Quantum Materials Database.

```
ScFeGeAu
1.0
0.0000 3.2288 3.2288
3.2288 0.0000 3.2288
3.2288 3.2288 0.0000
Sc Fe Ge Au
1 1 1 1
Direct
0.0000 0.0000 0.0000 Sc
0.5000 0.5000 0.5000 Fe
0.2500 0.2500 0.2500 Ge
0.7500 0.7500 0.7500 Au
```

Computed properties:
symmetry = F-43m (216)
spin magnetization = 2.58 μB per cell
E = -23.66 eV/f.u.
energy above the lowest structure with this stoichiometry = 0.0 meV/atom